AlFePO2 GGA+U relaxed; symmetry = P4/mmm, No. 123; DFT total energy = -5.305 eV/atom; total magnetic moment = 0.827 μB/atom
1.0
3.697 0.000 0.000
0.000 3.697 0.000
0.000 0.000 5.072
Al Fe P O
1 1 1 2
Cartesian
0.000 0.000 0.000
1.848 1.848 2.536
1.848 1.848 0.000
0.000 1.848 2.536
1.848 0.000 2.536